No. 1
Compound: YTh3Hg4
Source: Alexandria via LeMat-Bulk
Functional: PBE
Structure: optimized geometry

* formation energy from the elements: -2.3 eV per formula unit
* DOS at the Fermi energy: 8.46 states/eV/cell
* spin magnetization: 0.013 μB/atom

abc: 3.4744 3.4744 17.8437
angles: 90.00 90.00 90.00
With the nearest neighbours (Å) after each atom.
Space group P4/mmm (No. 123)
One atom of each set of equivalent atoms:
Y: 0.0000 0.0000 0.0000 [1 per cell]  8 Hg 3.21, 4 Y 3.47
Th: 0.0000 0.0000 0.2443 [2 per cell]  8 Hg 3.36, 4 Th 3.47
Th: 0.0000 0.0000 0.5000 [1 per cell]  8 Hg 3.35, 4 Th 3.47
Hg: 0.5000 0.5000 0.1159 [2 per cell]  4 Y 3.21, 4 Th 3.36, 4 Hg 3.47
Hg: 0.5000 0.5000 0.3723 [2 per cell]  8 Th 3.35-3.36, 4 Hg 3.47

No. 2
Compound: Cs2HfBr6N
Source: Alexandria via LeMat-Bulk
Functional: PBE
Structure: optimized geometry

* DOS at the Fermi energy: 0.00 states/eV/cell
* spin magnetization: 0.300 μB/atom
* uncorrected energy: -3.98 eV per atom

abc: 8.0931 8.0931 11.5417
angles: 90.00 90.00 90.00
With the nearest neighbours (Å) after each atom.
Space group I4/mmm (No. 139)
One atom of each set of equivalent atoms:
Cs: 0.0000 0.5000 0.2500 [4 per cell]  12 Br 4.05-4.07
Hf: 0.0000 0.0000 0.0000 [2 per cell]  6 Br 2.63
Br: 0.0000 0.0000 0.2276 [4 per cell]  1 Hf 2.63
Br: 0.2296 0.2296 0.0000 [8 per cell]  1 Hf 2.63
N: 0.0000 0.0000 0.5000 [2 per cell]  6 Br 3.10-3.14

No. 3
Compound: TiCrCuS4
Source: Alexandria via LeMat-Bulk
Functional: PBE
Structure: optimized geometry

* energy above the most stable polymorph in this dataset: 115 meV/atom
* spin magnetization: 0.429 μB/atom

abc: 11.5373 3.3823 14.2558
angles: 90.00 90.00 90.00
With the nearest neighbours (Å) after each atom.
Space group Pnma (No. 62)
One atom of each set of equivalent atoms:
Ti: 0.1713 0.2500 0.1257 [4 per cell]  5 S 2.29-2.47
Cr: 0.1133 0.2500 0.5481 [4 per cell]  6 S 2.33-2.53
Cu: 0.0846 0.7500 0.9745 [4 per cell]  5 S 2.34-2.53
S: 0.0119 0.2500 0.4040 [4 per cell]  3 Cr 2.33-2.36
S: 0.0157 0.7500 0.1287 [4 per cell]  3 Cu 2.34-2.52, 2 Ti 2.47
S: 0.2139 0.2500 0.6970 [4 per cell]  2 Ti 2.38, 1 Cr 2.42
S: 0.2481 0.2500 0.9779 [4 per cell]  1 Ti 2.29, 2 Cr 2.53, 2 Cu 2.53

- Which formula does entry 3 have?
  TiCrCuS4

- Among the records above, which one has the lowest spin magnetization?
  YTh3Hg4

- Among the records above, which one has the highest spin magnetization?
  TiCrCuS4

- Among the records above, which one has the highest spin magnetization?
  TiCrCuS4